(1)
5
Lattice="6.542 0.000 0.000 0.000 6.542 0.000 0.000 0.000 4.570" Properties=species:S:1:pos:R:3 comment="CsZn2OsN | Alexandria | PBE | optimized geometry" raw_formation_energy_mev_per_atom=2731 spacegroup="P4/mmm (123)" pbc="T T T"
Cs 0.000 0.000 0.000
Zn 0.000 3.271 0.000
Zn 3.271 0.000 0.000
Os 3.271 3.271 2.285
N 0.000 0.000 2.285

=====

(2)
26
Lattice="5.453 0.000 0.000 0.000 10.975 0.000 0.000 0.000 4.095" Properties=species:S:1:pos:R:3 comment="Sc2NiB10 | Alexandria | PBE | optimized geometry" spacegroup="Pbam (55)" e_form_ev_per_atom=-0.35 pbc="T T T"
Sc 0.932 1.553 0.000
Sc 1.795 7.040 0.000
Sc 3.659 3.935 0.000
Sc 4.522 9.422 0.000
Ni 0.000 5.488 2.047
Ni 2.727 0.000 2.047
B 0.123 3.454 2.047
B 0.684 10.525 2.047
B 0.890 8.785 2.047
B 1.089 4.227 0.810
B 1.089 4.227 3.285
B 1.637 9.715 0.810
B 1.637 9.715 3.285
B 1.836 3.298 2.047
B 2.043 5.037 2.047
B 2.604 8.941 2.047
B 2.850 2.034 2.047
B 3.411 5.938 2.047
B 3.617 7.678 2.047
B 3.816 1.260 0.810
B 3.816 1.260 3.285
B 4.364 6.748 0.810
B 4.364 6.748 3.285
B 4.563 2.190 2.047
B 4.769 0.450 2.047
B 5.331 7.521 2.047

=====

(3)
5
Lattice="4.950 0.000 0.000 0.000 4.950 0.000 0.000 0.000 5.452" Properties=species:S:1:pos:R:3 comment="CaBeAgPb2 | Alexandria | PBE | optimized geometry" spacegroup="P4/mmm (123)" e_form_ev_per_atom=0.25 pbc="T T T"
Ca 0.000 0.000 0.000
Be 0.000 0.000 2.726
Ag 2.475 2.475 0.000
Pb 0.000 2.475 2.726
Pb 2.475 0.000 2.726

=====

(4)
8
Lattice="-3.571 4.244 4.660 3.571 -4.244 4.660 3.571 4.244 -4.660" Properties=species:S:1:pos:R:3 comment="KCdGa2Te4 | Alexandria | PBE | optimized geometry" raw_formation_energy_mev_per_atom=-325 spacegroup="I222 (23)" pbc="T T T"
K 0.000 0.000 0.000
Cd 0.000 0.000 4.660
Ga 3.571 0.000 3.361
Ga 0.000 4.244 1.299
Te 1.956 2.635 -1.806
Te 1.615 1.610 2.854
Te 1.615 -1.610 6.466
Te 1.956 5.854 1.806

=====

(5)
14
Lattice="8.162 0.000 0.000 0.000 8.162 0.000 0.000 0.000 8.162" Properties=species:S:1:pos:R:3 comment="RbMg3Tl3 | Alexandria | PBE | optimized geometry" spacegroup="Pm-3n (223)" e_form_ev_per_atom=0.19 pbc="T T T"
Rb 0.000 0.000 0.000
Rb 4.081 4.081 4.081
Mg 0.000 2.040 4.081
Mg 0.000 6.121 4.081
Mg 2.040 4.081 0.000
Mg 4.081 0.000 2.040
Mg 4.081 0.000 6.121
Mg 6.121 4.081 0.000
Tl 0.000 4.081 2.040
Tl 0.000 4.081 6.121
Tl 2.040 0.000 4.081
Tl 4.081 2.040 0.000
Tl 4.081 6.121 0.000
Tl 6.121 0.000 4.081

=====

(6)
18
Lattice="6.336 0.000 0.000 0.000 6.336 0.000 0.000 0.000 12.225" Properties=species:S:1:pos:R:3 comment="Bi2SbS6 | Alexandria | PBE | optimized geometry" raw_formation_energy_mev_per_atom=23 spacegroup="P4_2/mnm (136)" pbc="T T T"
Bi 0.000 0.000 2.043
Bi 0.000 0.000 10.182
Bi 3.168 3.168 4.069
Bi 3.168 3.168 8.156
Sb 0.000 0.000 6.113
Sb 3.168 3.168 0.000
S 1.189 1.189 4.204
S 1.189 1.189 8.021
S 1.364 1.364 0.000
S 1.804 4.532 6.113
S 1.980 4.357 1.908
S 1.980 4.357 10.317
S 4.357 1.980 1.908
S 4.357 1.980 10.317
S 4.532 1.804 6.113
S 4.973 4.973 0.000
S 5.148 5.148 4.204
S 5.148 5.148 8.021

=====

Ordered electronic total energy results: -1.861, -6.901, -2.946, -2.904, -1.644, -4.050; unit eV/atom.